# 1
# Zr2GaS

A relaxed structure of Zr2GaS (PBE-GGA, Alexandria via LeMat-Bulk).

```
Zr2GaS
1.0
1.881 1.086 6.292
-1.881 1.086 6.292
0.000 -2.172 6.292
Zr Ga S
2 1 1
Cartesian
0.000 0.000 4.607
0.000 0.000 14.268
0.000 0.000 0.000
0.000 0.000 9.438
```

Calculated values
ΔE_f (raw): -0.9306 eV per atom
Symmetry: R-3m, No. 166
Energy relative to the lowest polymorph listed for this composition: 0.011 eV/f.u.
Calculated density: 6.12 g/cm3

# 2
# UH8PdRh4

A relaxed structure of UH8PdRh4 (PBE-GGA, Alexandria via LeMat-Bulk).

```
UH8PdRh4
1.0
2.836 1.637 4.602
-2.836 1.637 4.602
0.000 -3.274 4.602
U H Pd Rh
1 8 1 4
Cartesian
0.000 0.000 0.000
0.000 -1.888 6.949
-1.635 0.944 6.949
0.000 0.000 5.286
-1.034 -0.597 9.878
1.034 -0.597 9.878
0.000 1.194 9.878
0.000 0.000 11.586
1.635 0.944 6.949
0.000 0.000 8.475
-1.403 -0.810 6.265
0.000 0.000 3.459
1.403 -0.810 6.265
0.000 1.620 6.265
```

Calculated values
Symmetry: R3m, No. 160
Raw total energy: -5.270 eV/atom
Calculated density: 9.90 g/cm3

| no. | DOS at the Fermi energy (states/eV/f.u.) |
| --- | --- |
| 1 | 3.1 |
| 2 | 10.2 |